# La4TeIr

A relaxed La4TeIr crystal (PBE, Alexandria via LeMat-Bulk). Values from VASP.

```
&SYSTEM
  ibrav = 0, nat = 6, ntyp = 3
/
ATOMIC_SPECIES
La 138.91 La.upf
Te 127.60 Te.upf
Ir 192.22 Ir.upf
CELL_PARAMETERS angstrom
0.000 4.416 4.416
4.416 0.000 4.416
4.416 4.416 0.000
ATOMIC_POSITIONS crystal
La 0.375 0.875 0.375
La 0.875 0.375 0.375
La 0.375 0.375 0.875
La 0.375 0.375 0.375
Te 0.750 0.750 0.750
Ir 0.000 0.000 0.000
```

Properties
formation energy (no corrections) = 0.2127 eV/atom
VASP energy = -5.0727 eV/atom
magnetic moment = 0.00 Bohr magnetons per cell
space-group type = F-43m, No. 216

# La2TeIr

A relaxed La2TeIr crystal (PBE, Alexandria via LeMat-Bulk). Values from VASP.

```
&SYSTEM
  ibrav = 0, nat = 4, ntyp = 3
/
ATOMIC_SPECIES
Ir 192.22 Ir.upf
La 138.91 La.upf
Te 127.60 Te.upf
CELL_PARAMETERS angstrom
7.691 -0.024 -0.015
6.400 4.265 -0.015
6.400 1.926 3.805
ATOMIC_POSITIONS crystal
Ir 0.809 0.809 0.809
La 0.028 0.028 0.028
La 0.214 0.214 0.214
Te 0.448 0.448 0.448
```

Properties
formation energy (no corrections) = -0.6281 eV/atom
VASP energy = -6.0925 eV/atom
magnetic moment = 0.87 Bohr magnetons per cell
space-group type = R3m, No. 160

# LaTe2Ir

A relaxed LaTe2Ir crystal (PBE, Alexandria via LeMat-Bulk). Values from VASP.

```
&SYSTEM
  ibrav = 0, nat = 4, ntyp = 3
/
ATOMIC_SPECIES
Ir 192.22 Ir.upf
La 138.91 La.upf
Te 127.60 Te.upf
CELL_PARAMETERS angstrom
6.544 0.001 0.000
5.006 4.215 0.000
5.006 1.827 3.799
ATOMIC_POSITIONS crystal
Ir 0.250 0.250 0.250
La 0.750 0.750 0.750
Te 0.980 0.980 0.980
Te 0.520 0.520 0.520
```

Properties
formation energy (no corrections) = -0.5191 eV/atom
VASP energy = -5.5371 eV/atom
magnetic moment = 0.00 Bohr magnetons per cell
space-group type = R-3m, No. 166

# LaTe4Ir

A relaxed LaTe4Ir crystal (PBE, Alexandria via LeMat-Bulk). Values from VASP.

```
&SYSTEM
  ibrav = 0, nat = 6, ntyp = 3
/
ATOMIC_SPECIES
La 138.91 La.upf
Te 127.60 Te.upf
Ir 192.22 Ir.upf
CELL_PARAMETERS angstrom
0.000 4.375 4.375
4.375 0.000 4.375
4.375 4.375 0.000
ATOMIC_POSITIONS crystal
La 0.000 0.000 0.000
Te 0.872 0.376 0.376
Te 0.376 0.376 0.872
Te 0.376 0.872 0.376
Te 0.376 0.376 0.376
Ir 0.750 0.750 0.750
```

Properties
formation energy (no corrections) = 0.4114 eV/atom
VASP energy = -3.9812 eV/atom
magnetic moment = 1.08 Bohr magnetons per cell
space-group type = F-43m, No. 216

# LaTe2Ir

A relaxed LaTe2Ir crystal (PBE, Alexandria via LeMat-Bulk). Values from VASP.

```
&SYSTEM
  ibrav = 0, nat = 4, ntyp = 3
/
ATOMIC_SPECIES
Ir 192.22 Ir.upf
La 138.91 La.upf
Te 127.60 Te.upf
CELL_PARAMETERS angstrom
7.173 0.017 -0.007
5.897 4.083 -0.007
2.344 0.735 4.198
ATOMIC_POSITIONS crystal
Ir 0.417 0.417 0.409
La 0.247 0.247 0.288
Te 0.043 0.043 0.072
Te 0.793 0.793 0.730
```

Properties
formation energy (no corrections) = -0.7929 eV/atom
VASP energy = -5.8108 eV/atom
magnetic moment = 0.00 Bohr magnetons per cell
space-group type = Cm, No. 8

# LaTeIr4

A relaxed LaTeIr4 crystal (PBE, Alexandria via LeMat-Bulk). Values from VASP.

```
&SYSTEM
  ibrav = 0, nat = 6, ntyp = 3
/
ATOMIC_SPECIES
La 138.91 La.upf
Te 127.60 Te.upf
Ir 192.22 Ir.upf
CELL_PARAMETERS angstrom
-3.131 -4.379 0.689
-3.046 -0.483 4.466
-5.398 0.444 -0.336
ATOMIC_POSITIONS crystal
La 0.750 0.750 0.750
Te 0.000 0.000 0.000
Ir 0.875 0.375 0.375
Ir 0.375 0.375 0.875
Ir 0.375 0.875 0.375
Ir 0.375 0.375 0.375
```

Properties
formation energy (no corrections) = -0.1080 eV/atom
VASP energy = -7.3602 eV/atom
magnetic moment = 0.00 Bohr magnetons per cell
space-group type = F-43m, No. 216

# LaTe2Ir

A relaxed LaTe2Ir crystal (PBE, Alexandria via LeMat-Bulk). Values from VASP.

```
&SYSTEM
  ibrav = 0, nat = 4, ntyp = 3
/
ATOMIC_SPECIES
Ir 192.22 Ir.upf
La 138.91 La.upf
Te 127.60 Te.upf
CELL_PARAMETERS angstrom
3.645 0.000 0.000
0.000 3.645 0.000
0.000 0.000 7.349
ATOMIC_POSITIONS crystal
Ir 0.500 0.500 0.250
La 0.500 0.500 0.750
Te 0.000 0.000 0.039
Te 0.000 0.000 0.461
```

Properties
formation energy (no corrections) = -0.0998 eV/atom
VASP energy = -5.1178 eV/atom
magnetic moment = 0.00 Bohr magnetons per cell
space-group type = P4/mmm, No. 123

# La2TeIr

A relaxed La2TeIr crystal (PBE, Alexandria via LeMat-Bulk). Values from VASP.

```
&SYSTEM
  ibrav = 0, nat = 8, ntyp = 3
/
ATOMIC_SPECIES
Ir 192.22 Ir.upf
Te 127.60 Te.upf
La 138.91 La.upf
CELL_PARAMETERS angstrom
7.921 0.000 0.000
0.000 7.921 0.000
3.960 3.960 4.107
ATOMIC_POSITIONS crystal
Ir 0.000 0.000 0.000
Ir 0.750 0.250 0.500
Te 0.500 0.500 0.000
Te 0.250 0.750 0.500
La 0.674 0.125 0.250
La 0.076 0.625 0.250
La 0.375 0.326 0.750
La 0.875 0.924 0.750
```

Properties
formation energy (no corrections) = -0.8503 eV/atom
VASP energy = -6.3147 eV/atom
magnetic moment = 0.00 Bohr magnetons per cell
space-group type = I-42d, No. 122